# 1
Li5Pb3 | SCAN | single point on PBEsol structure

Summary:
The energy relative to the elements comes out at -0.367 eV/atom. The size of the total moment is 0.000 μB/f.u. The calculation puts the calculated total energy at -30.279 eV per atom. The crystal system is hexagonal.

Unit cell a=8.3089 b=8.3089 c=5.6973 alpha=90.00 beta=90.00 gamma=120.00
With the nearest neighbours (Å) after each atom.
Space group P6_3/mcm (No. 193)
Symmetry-distinct sites (fractional):
Li1 0.0000 0.2486 0.2500 [6 per cell]  5 Pb 2.89-3.11
Li2 0.3333 0.6667 0.0000 [4 per cell]  2 Li 2.85, 6 Pb 2.92
Pb1 0.0000 0.3982 0.7500 [6 per cell]  9 Li 2.89-3.11

***

# 2
Sr3MgPt | SCAN | single point on PBEsol structure

Summary:
The energy relative to the elements comes out at -0.438 eV/atom. The size of the total moment is 0.006 μB/f.u. The calculation puts the calculated total energy at -28.837 eV per atom. The crystal system is cubic.

Unit cell a=5.8221 b=5.8221 c=5.8221 alpha=90.00 beta=90.00 gamma=90.00
With the nearest neighbours (Å) after each atom.
Space group Pm-3m (No. 221)
Symmetry-distinct sites (fractional):
Sr1 0.0000 0.0000 0.5000 [3 per cell]  2 Pt 2.91
Mg1 0.5000 0.5000 0.5000 [1 per cell]  12 Sr 4.12
Pt1 0.0000 0.0000 0.0000 [1 per cell]  6 Sr 2.91

***

# 3
La3TeF | SCAN | single point on PBEsol structure

Summary:
The size of the total moment is 0.000 μB/f.u. The calculation puts the calculated total energy at -35.549 eV per atom. The crystal system is cubic.

Unit cell a=4.9872 b=4.9872 c=4.9872 alpha=90.00 beta=90.00 gamma=90.00
With the nearest neighbours (Å) after each atom.
Space group Pm-3m (No. 221)
Symmetry-distinct sites (fractional):
La1 0.0000 0.0000 0.5000 [3 per cell]  2 F 2.49
Te1 0.5000 0.5000 0.5000 [1 per cell]  12 La 3.53
F1 0.0000 0.0000 0.0000 [1 per cell]  6 La 2.49

***

# 4
CoSbWI2 | SCAN | single point on PBEsol structure

Summary:
The size of the total moment is 2.073 μB/f.u. The calculation puts the calculated total energy at -38.000 eV per atom. The crystal system is tetragonal.

Unit cell a=4.9596 b=4.9596 c=4.8739 alpha=90.00 beta=90.00 gamma=90.00
With the nearest neighbours (Å) after each atom.
Space group P4/mmm (No. 123)
Symmetry-distinct sites (fractional):
Co1 0.0000 0.0000 0.0000 [1 per cell]  2 Sb 2.44, 4 I 2.48
Sb1 0.0000 0.0000 0.5000 [1 per cell]  2 Co 2.44
W1 0.5000 0.5000 0.5000 [1 per cell]  8 I 3.48, 4 Sb 3.51
I1 0.0000 0.5000 0.0000 [2 per cell]  2 Co 2.48

***

# 5
BeCu3 | SCAN | single point on PBEsol structure

Summary:
The energy relative to the elements comes out at -0.076 eV/atom. The size of the total moment is 0.000 μB/f.u. The calculation puts the calculated total energy at -12.564 eV per atom. The crystal system is hexagonal.

Unit cell a=4.9155 b=4.9155 c=4.0095 alpha=90.00 beta=90.00 gamma=120.00
With the nearest neighbours (Å) after each atom.
Space group P6_3/mmc (No. 194)
Symmetry-distinct sites (fractional):
Be1 0.3333 0.6667 0.2500 [2 per cell]  12 Cu 2.44-2.46
Cu1 0.1693 0.3385 0.7500 [6 per cell]  8 Cu 2.42-2.50, 4 Be 2.44-2.46

***

# 6
Sc2NiAg | SCAN | single point on PBEsol structure

Summary:
The energy relative to the elements comes out at -0.383 eV/atom. The size of the total moment is 0.000 μB/f.u. The calculation puts the calculated total energy at -19.387 eV per atom. The crystal system is tetragonal.

Unit cell a=4.6011 b=4.6011 c=3.2784 alpha=90.00 beta=90.00 gamma=90.00
With the nearest neighbours (Å) after each atom.
Space group P4/mmm (No. 123)
Symmetry-distinct sites (fractional):
Sc1 0.0000 0.5000 0.0000 [2 per cell]  4 Ag 2.82, 4 Ni 2.82
Ni1 0.0000 0.0000 0.5000 [1 per cell]  8 Sc 2.82
Ag1 0.5000 0.5000 0.5000 [1 per cell]  8 Sc 2.82

***

# 7
CaScIO2 | SCAN | single point on PBEsol structure

Summary:
The size of the total moment is 0.000 μB/f.u. The calculation puts the calculated total energy at -15.613 eV per atom. The crystal system is tetragonal.

Unit cell a=4.3114 b=4.3114 c=5.5948 alpha=90.00 beta=90.00 gamma=90.00
With the nearest neighbours (Å) after each atom.
Space group P4/mmm (No. 123)
Symmetry-distinct sites (fractional):
Ca1 0.0000 0.0000 0.0000 [1 per cell]  4 O 2.16
Sc1 0.5000 0.5000 0.5000 [1 per cell]  4 I 3.05
I1 0.0000 0.0000 0.5000 [1 per cell]  2 Ca 2.80, 4 Sc 3.05
O1 0.0000 0.5000 0.0000 [2 per cell]  2 Ca 2.16

***

# 8
Sr2NiSe | SCAN | single point on PBEsol structure

Summary:
The size of the total moment is 0.000 μB/f.u. The calculation puts the calculated total energy at -20.910 eV per atom. The crystal system is orthorhombic.

Unit cell a=4.0590 b=4.1050 c=14.6049 alpha=90.00 beta=90.00 gamma=90.00
With the nearest neighbours (Å) after each atom.
Space group Imm2 (No. 44)
Symmetry-distinct sites (fractional):
Sr1 0.0000 0.0000 0.0000 [2 per cell]  2 Ni 3.03, 4 Se 3.12
Sr2 0.0000 0.5000 0.2437 [2 per cell]  2 Se 3.12, 4 Ni 3.17
Ni1 0.0000 0.5000 0.6536 [2 per cell]  2 Se 2.31
Se1 0.0000 0.0000 0.5817 [2 per cell]  2 Ni 2.31

***

# 9
TiFeO3 | SCAN | single point on PBEsol structure

Summary:
The size of the total moment is 4.000 μB/f.u. The calculation puts the calculated total energy at -13.103 eV per atom. The crystal system is trigonal.

Unit cell a=5.0365 b=5.0365 c=13.8039 alpha=90.00 beta=90.00 gamma=120.00
With the nearest neighbours (Å) after each atom.
Space group R3c (No. 161, hexagonal axes)
Symmetry-distinct sites (fractional):
Ti1 0.0000 0.0000 0.0000 [6 per cell]  6 O 1.90-2.09
Fe1 0.0000 0.0000 0.2046 [6 per cell]  6 O 2.01-2.12
O1 0.0133 0.3668 0.2671 [18 per cell]  2 Ti 1.90-2.09, 2 Fe 2.01-2.12

***

# 10
BOsI2O | SCAN | single point on PBEsol structure

Summary:
The size of the total moment is 0.000 μB/f.u. The calculation puts the calculated total energy at -30.949 eV per atom. The crystal system is tetragonal.

Unit cell a=5.4404 b=5.4404 c=3.7004 alpha=90.00 beta=90.00 gamma=90.00
With the nearest neighbours (Å) after each atom.
Space group P4/mmm (No. 123)
Symmetry-distinct sites (fractional):
B1 0.0000 0.0000 0.0000 [1 per cell]  8 I 3.29
Os1 0.5000 0.5000 0.5000 [1 per cell]  2 O 1.85
I1 0.0000 0.5000 0.5000 [2 per cell]  2 Os 2.72
O1 0.5000 0.5000 0.0000 [1 per cell]  2 Os 1.85

***

# 11
Cu3OF5 | SCAN | single point on PBEsol structure

Summary:
The calculation puts the energy above the most stable polymorph in this dataset at 1 meV per atom. The size of the total moment is 1.558 μB/f.u. The calculation puts the calculated total energy at -9.255 eV per atom. The crystal system is monoclinic.

Unit cell a=4.5031 b=4.5408 c=10.3072 alpha=90.00 beta=115.76 gamma=90.00
With the nearest neighbours (Å) after each atom.
Space group Pc (No. 7)
Symmetry-distinct sites (fractional):
Cu1 0.0000 0.2010 0.0000 [2 per cell]  1 O 1.84, 3 F 1.91-2.01
Cu2 0.3044 0.2570 0.3407 [2 per cell]  1 O 1.85, 3 F 1.90-1.96
Cu3 0.6234 0.2566 0.6596 [2 per cell]  1 O 1.85, 3 F 1.90-1.97
O1 0.2884 0.0858 0.5001 [2 per cell]  3 Cu 1.84-1.85
F1 0.3429 0.4355 0.1750 [2 per cell]  3 Cu 1.94-2.09
F2 0.6083 0.0260 0.8337 [2 per cell]  3 Cu 1.90-2.10
F3 0.6993 0.4964 0.0004 [2 per cell]  2 Cu 1.91-2.13
F4 0.9413 0.0258 0.1658 [2 per cell]  3 Cu 1.90-2.11
F5 0.9939 0.4345 0.8257 [2 per cell]  3 Cu 1.94-2.08

***

# 12
Al5Tc24 | SCAN | single point on PBEsol structure

Summary:
The energy relative to the elements comes out at -0.246 eV/atom. The size of the total moment is 0.000 μB/f.u. The calculation puts the calculated total energy at -30.597 eV per atom. The crystal system is cubic.

Unit cell a=9.4085 b=9.4085 c=9.4085 alpha=90.00 beta=90.00 gamma=90.00
With the nearest neighbours (Å) after each atom.
Space group I-43m (No. 217)
Symmetry-distinct sites (fractional):
Al1 0.0000 0.0000 0.0000 [2 per cell]  4 Al 2.93, 12 Tc 2.93
Al2 0.1795 0.1795 0.8205 [8 per cell]  9 Tc 2.71-2.85, 1 Al 2.93
Tc1 0.0371 0.3583 0.3583 [24 per cell]  5 Tc 2.48-2.76, 1 Al 2.71
Tc2 0.0909 0.0909 0.2831 [24 per cell]  6 Tc 2.42-2.66